Compound: PmTlPt
Source: the Alexandria database
Functional: PBE
Structure: relaxed

CIF file:
```
data_PmTlPt
_cell_length_a 4.7865
_cell_length_b 4.7865
_cell_length_c 3.6403
_cell_angle_alpha 90.00
_cell_angle_beta 90.00
_cell_angle_gamma 120.00
_symmetry_space_group_name_H-M 'P -6 m 2'
_symmetry_Int_Tables_number 187
_symmetry_space_group_name_Hall 'P -6 2'
loop_
_atom_site_label
_atom_site_fract_x
_atom_site_fract_y
_atom_site_fract_z
Pm1 0.0000 0.0000 0.0000
Tl1 0.6667 0.3333 0.5000
Pt1 0.3333 0.6667 0.5000
```

Computed properties:
**Polymorph energy (0 for the lowest one)**: 139.0 meV/atom
**Magnetic moment**: 0.0 μB/f.u.
**N(E_F)**: 0.868 states/eV/atom